Record 1
A plane-wave DFT calculation with PBE was carried out for a geometry-optimized Y8Tl2Bi structure.

Summary:
DOS at the Fermi energy	1.3684	states/eV per atom
total moment	1.69	μB per cell
calculated volume	344	Å³ per cell
space group	C2/m, No. 12
mass density	6.41	g/cm³
energy of formation	-177	meV/atom

Unit cell a=5.7957 b=8.4732 c=8.4732 alpha=117.08 beta=101.08 gamma=101.08
Last column: nearest neighbours and their distance in Å.
Fractional positions:
Tl1 0.0000 0.3046 0.6954  8 Y 3.12-3.25
Tl2 0.0000 0.6954 0.3046  8 Y 3.12-3.25
Bi1 0.5000 0.0000 0.0000  4 Y 3.26-3.30
Y1 0.2960 0.5987 0.5987  4 Y 3.23-3.58, 2 Tl 3.25, 1 Bi 3.30
Y2 0.1251 0.0927 0.3257  2 Tl 3.13-3.22, 2 Y 3.37-3.44
Y3 0.5000 0.7748 0.2252  2 Tl 3.12, 1 Bi 3.26
Y4 0.8749 0.9073 0.6743  2 Tl 3.13-3.22, 2 Y 3.37-3.44
Y5 0.5000 0.2252 0.7748  2 Tl 3.12, 1 Bi 3.26
Y6 0.1251 0.3257 0.0927  2 Tl 3.13-3.22, 2 Y 3.37-3.44
Y7 0.8749 0.6743 0.9073  2 Tl 3.13-3.22, 2 Y 3.37-3.44
Y8 0.7040 0.4013 0.4013  4 Y 3.23-3.58, 2 Tl 3.25, 1 Bi 3.30

***

Record 2
A plane-wave DFT calculation with PBE was carried out for a geometry-optimized Y2TlBi2 structure.

Summary:
DOS at the Fermi energy	0.3691	states/eV per atom
total moment	0.00	μB per cell
calculated volume	310	Å³ per cell
space group	P4/mbm, No. 127
mass density	8.56	g/cm³
energy above the most stable polymorph in this dataset	2	meV/atom
energy of formation	-532	meV/atom

Unit cell a=8.7255 b=8.7255 c=4.0763 alpha=90.00 beta=90.00 gamma=90.00
Last column: nearest neighbours and their distance in Å.
Fractional positions:
Bi1 0.6471 0.1471 0.0000  6 Y 3.21-3.31, 2 Tl 3.34
Bi2 0.1471 0.3529 0.0000  6 Y 3.21-3.31, 2 Tl 3.34
Bi3 0.3529 0.8529 0.0000  6 Y 3.21-3.31, 2 Tl 3.34
Bi4 0.8529 0.6471 0.0000  6 Y 3.21-3.31, 2 Tl 3.34
Y1 0.6522 0.8478 0.5000  6 Bi 3.21-3.31
Y2 0.8478 0.3478 0.5000  6 Bi 3.21-3.31
Y3 0.1522 0.6522 0.5000  6 Bi 3.21-3.31
Y4 0.3478 0.1522 0.5000  6 Bi 3.21-3.31
Tl1 0.5000 0.5000 0.0000  4 Bi 3.34
Tl2 0.0000 0.0000 0.0000  4 Bi 3.34

***

Record 3
A plane-wave DFT calculation with PBE was carried out for a geometry-optimized Y8TlBi5 structure.

Summary:
DOS at the Fermi energy	1.0895	states/eV per atom
total moment	2.19	μB per cell
calculated volume	417	Å³ per cell
space group	I-4, No. 82
mass density	7.81	g/cm³
energy of formation	-705	meV/atom

Unit cell a=8.1510 b=8.1509 c=8.1509 alpha=109.60 beta=109.22 gamma=109.60
Last column: nearest neighbours and their distance in Å.
Fractional positions:
Y1 0.6202 0.3960 0.8734  5 Bi 3.15-3.39, 1 Tl 3.34
Y2 0.6213 0.8910 0.8757  1 Tl 3.11, 5 Bi 3.15-3.40
Y3 0.1266 0.7468 0.5226  5 Bi 3.15-3.39, 1 Tl 3.34
Y4 0.7758 0.2532 0.3798  5 Bi 3.15-3.39, 1 Tl 3.34
Y5 0.2696 0.2544 0.3787  1 Tl 3.11, 5 Bi 3.15-3.40
Y6 0.1243 0.7456 0.0153  1 Tl 3.11, 5 Bi 3.15-3.40
Y7 0.4774 0.6040 0.2242  5 Bi 3.15-3.39, 1 Tl 3.34
Y8 0.9847 0.1090 0.7304  1 Tl 3.11, 5 Bi 3.15-3.40
Bi1 0.5000 0.0000 0.5000  8 Y 3.16-3.40
Bi2 0.8783 0.8736 0.2507  8 Y 3.15-3.39
Bi3 0.3771 0.1264 0.0047  8 Y 3.15-3.39
Bi4 0.9953 0.3724 0.1217  8 Y 3.15-3.39
Bi5 0.7493 0.6276 0.6229  8 Y 3.15-3.39
Tl1 0.2500 0.5000 0.7500  8 Y 3.11-3.34

***

Record 4
A plane-wave DFT calculation with PBE was carried out for a geometry-optimized YTlBi2 structure.

Summary:
DOS at the Fermi energy	1.0031	states/eV per atom
total moment	0.00	μB per cell
calculated volume	124	Å³ per cell
space group	Fm-3m, No. 225
mass density	9.54	g/cm³
energy above the most stable polymorph in this dataset	172	meV/atom
energy of formation	-228	meV/atom

Unit cell a=5.5941 b=5.5941 c=5.5941 alpha=60.00 beta=60.00 gamma=60.00
Last column: nearest neighbours and their distance in Å.
Fractional positions:
Bi1 0.7500 0.7500 0.7500  4 Y 3.43, 4 Tl 3.43
Bi2 0.2500 0.2500 0.2500  4 Tl 3.43, 4 Y 3.43
Y1 0.0000 0.0000 0.0000  8 Bi 3.43
Tl1 0.5000 0.5000 0.5000  8 Bi 3.43